{
  "formula": "NaLaPtPb",
  "functional": "PBE",
  "state": "relaxed",
  "delta_e_f_mev_per_atom": -569,
  "space_group": "F-43m",
  "total_energy_ev_per_atom": -4.5680,
  "lattice_angstrom": [[-0.749, 4.265, -2.668], [0.372, -0.075, -5.072], [-4.173, 0.509, -2.864]],
  "species": ["Pt", "La", "Pb", "Na"],
  "frac_coords": [[0.250, 0.250, 0.250], [0.000, 0.000, 0.000], [0.500, 0.500, 0.500], [0.750, 0.750, 0.750]]
}

***

{
  "formula": "NaLa2RuPb",
  "functional": "PBE",
  "state": "relaxed",
  "delta_e_f_mev_per_atom": -115,
  "space_group": "P4/mmm",
  "e_above_lowest_polymorph_kj_per_mol_fu": 36,
  "total_energy_ev_per_atom": -4.9470,
  "lattice_angstrom": [[5.311, 0.000, 0.000], [0.000, 5.311, 0.000], [0.000, 0.000, 5.435]],
  "species": ["Pb", "Na", "Ru", "La", "La"],
  "frac_coords": [[0.500, 0.500, 0.500], [0.000, 0.000, 0.500], [0.000, 0.000, 0.000], [0.500, 0.000, 0.000], [0.000, 0.500, 0.000]]
}

***

{
  "formula": "NaLa2RuPb",
  "functional": "PBE",
  "state": "relaxed",
  "delta_e_f_mev_per_atom": -189,
  "space_group": "P4/mmm",
  "e_above_lowest_polymorph_kj_per_mol_fu": 0,
  "total_energy_ev_per_atom": -5.0209,
  "lattice_angstrom": [[-4.441, 0.212, -3.223], [-0.249, -5.485, -0.018], [-3.166, 0.129, 4.371]],
  "species": ["La", "Na", "Ru", "La", "Pb"],
  "frac_coords": [[0.500, 0.000, 0.000], [0.500, 0.500, 0.500], [0.000, 0.000, 0.000], [0.000, 0.500, 0.000], [0.000, 0.000, 0.500]]
}

***

{
  "formula": "NaLaPb2S4",
  "functional": "PBE",
  "state": "relaxed",
  "space_group": "Fmm2",
  "raw_formation_energy_ev_per_atom": -1.199,
  "total_energy_ev_per_atom": -4.9710,
  "lattice_angstrom": [[-1.758, 2.638, 4.990], [3.305, -3.754, 3.152], [3.864, 4.336, -4.434]],
  "species": ["La", "Na", "Pb", "S", "Pb", "S", "S", "S"],
  "frac_coords": [[0.937, 0.937, 0.000], [0.438, 0.438, 0.000], [0.187, 0.687, 0.500], [0.696, 0.696, 0.519], [0.687, 0.187, 0.500], [0.437, 0.938, 0.000], [0.177, 0.177, 0.481], [0.938, 0.437, 0.000]]
}

***

{
  "formula": "NaLaSmPb",
  "functional": "PBE",
  "state": "relaxed",
  "delta_e_f_mev_per_atom": -233,
  "space_group": "F-43m",
  "total_energy_ev_per_atom": -3.9019,
  "lattice_angstrom": [[5.582, 0.000, 0.000], [2.791, 4.834, 0.000], [2.791, 1.611, 4.558]],
  "species": ["La", "Pb", "Na", "Sm"],
  "frac_coords": [[0.750, 0.750, 0.750], [0.000, 0.000, 0.000], [0.500, 0.500, 0.500], [0.250, 0.250, 0.250]]
}

***

{
  "formula": "NaLaSnPb",
  "functional": "PBE",
  "state": "relaxed",
  "delta_e_f_mev_per_atom": -472,
  "space_group": "Pmmm",
  "e_above_lowest_polymorph_kj_per_mol_fu": 0,
  "total_energy_ev_per_atom": -3.9618,
  "lattice_angstrom": [[-3.633, 2.994, 0.312], [-2.399, -3.208, 2.841], [2.053, 2.067, 4.068]],
  "species": ["La", "Na", "Sn", "Pb"],
  "frac_coords": [[0.500, 0.500, 0.000], [0.500, 0.000, 0.500], [0.000, 0.000, 0.000], [0.000, 0.500, 0.500]]
}

***

Number 1: total magnetic moment 0.00 μB/cell. Number 2: total magnetic moment 0.00 μB/cell. Number 3: total magnetic moment 0.00 μB/cell. Number 4: total magnetic moment 0.00 μB/cell. Number 5: total magnetic moment 0.00 μB/cell. Number 6: total magnetic moment 0.00 μB/cell.